A) SmDy3Mg after structural relaxation, computed with PBE-GGA.

a b c (Å): 6.726 6.726 12.800
angles (deg): 93.15 93.15 31.80
Sites, in units of the cell vectors:
Sm (0.233, 0.233, 0.259)
Sm (0.767, 0.767, 0.741)
Dy (0.037, 0.037, 0.687)
Dy (0.150, 0.150, 0.941)
Dy (0.366, 0.366, 0.524)
Dy (0.634, 0.634, 0.476)
Dy (0.850, 0.850, 0.059)
Dy (0.963, 0.963, 0.313)
Mg (0.444, 0.444, 0.876)
Mg (0.556, 0.556, 0.124)

B) SmDy3Mg after structural relaxation, computed with PBE-GGA.

a b c (Å): 3.494 6.956 12.922
angles (deg): 90.00 97.75 90.00
Sites, in units of the cell vectors:
Sm (0.002, 0.250, 0.003)
Sm (0.998, 0.750, 0.997)
Dy (0.204, 0.750, 0.409)
Dy (0.399, 0.010, 0.798)
Dy (0.399, 0.490, 0.798)
Dy (0.601, 0.510, 0.202)
Dy (0.601, 0.990, 0.202)
Dy (0.796, 0.250, 0.591)
Mg (0.186, 0.250, 0.372)
Mg (0.814, 0.750, 0.628)

Energy above the most stable structure, in meV per atom: A) 0; B) 86

A) Sm6Dy12Mg after structural relaxation, computed with PBE-GGA.

a b c (Å): 8.652 8.652 8.652
angles (deg): 97.29 97.29 97.29
Sites, in units of the cell vectors:
Sm (0.092, 0.365, 0.365)
Sm (0.365, 0.092, 0.365)
Sm (0.365, 0.365, 0.092)
Sm (0.635, 0.635, 0.908)
Sm (0.635, 0.908, 0.635)
Sm (0.908, 0.635, 0.635)
Dy (0.089, 0.089, 0.667)
Dy (0.089, 0.667, 0.089)
Dy (0.238, 0.500, 0.762)
Dy (0.238, 0.762, 0.500)
Dy (0.333, 0.911, 0.911)
Dy (0.500, 0.238, 0.762)
Dy (0.500, 0.762, 0.238)
Dy (0.667, 0.089, 0.089)
Dy (0.762, 0.238, 0.500)
Dy (0.762, 0.500, 0.238)
Dy (0.911, 0.333, 0.911)
Dy (0.911, 0.911, 0.333)
Mg (0.500, 0.500, 0.500)

B) Sm6Dy12Mg after structural relaxation, computed with PBE-GGA.

a b c (Å): 8.511 8.511 8.511
angles (deg): 88.78 88.78 88.78
Sites, in units of the cell vectors:
Sm (0.200, 0.761, 0.594)
Sm (0.239, 0.406, 0.800)
Sm (0.406, 0.800, 0.239)
Sm (0.594, 0.200, 0.761)
Sm (0.761, 0.594, 0.200)
Sm (0.800, 0.239, 0.406)
Dy (0.039, 0.936, 0.278)
Dy (0.064, 0.722, 0.961)
Dy (0.139, 0.486, 0.311)
Dy (0.278, 0.039, 0.936)
Dy (0.311, 0.139, 0.486)
Dy (0.486, 0.311, 0.139)
Dy (0.514, 0.689, 0.861)
Dy (0.689, 0.861, 0.514)
Dy (0.722, 0.961, 0.064)
Dy (0.861, 0.514, 0.689)
Dy (0.936, 0.278, 0.039)
Dy (0.961, 0.064, 0.722)
Mg (0.500, 0.500, 0.500)

Energy above the most stable structure, in meV per atom: A) 5; B) 0

A) Sm3Dy2Mg after structural relaxation, computed with PBE-GGA.

a b c (Å): 9.368 9.368 6.186
angles (deg): 90.71 90.71 44.06
Sites, in units of the cell vectors:
Sm (0.132, 0.868, 0.750)
Sm (0.208, 0.458, 0.920)
Sm (0.458, 0.208, 0.420)
Sm (0.542, 0.792, 0.580)
Sm (0.792, 0.542, 0.080)
Sm (0.868, 0.132, 0.250)
Dy (0.043, 0.290, 0.586)
Dy (0.290, 0.043, 0.086)
Dy (0.710, 0.957, 0.914)
Dy (0.957, 0.710, 0.414)
Mg (0.368, 0.632, 0.250)
Mg (0.632, 0.368, 0.750)

B) Sm3Dy2Mg after structural relaxation, computed with PBE-GGA.

a b c (Å): 3.608 3.608 14.433
angles (deg): 90.00 90.00 90.00
Sites, in units of the cell vectors:
Sm (0.000, 0.000, 0.000)
Sm (0.000, 0.000, 0.347)
Sm (0.000, 0.000, 0.653)
Dy (0.500, 0.500, 0.175)
Dy (0.500, 0.500, 0.825)
Mg (0.500, 0.500, 0.500)

Energy above the most stable structure, in meV per atom: A) 37; B) 0

A) SmDy6Mg after structural relaxation, computed with PBE-GGA.

a b c (Å): 6.332 6.333 6.337
angles (deg): 95.10 95.15 95.20
Sites, in units of the cell vectors:
Sm (0.000, 0.000, 0.000)
Dy (0.036, 0.546, 0.258)
Dy (0.258, 0.036, 0.546)
Dy (0.454, 0.742, 0.964)
Dy (0.546, 0.258, 0.036)
Dy (0.742, 0.964, 0.454)
Dy (0.964, 0.454, 0.742)
Mg (0.500, 0.500, 0.500)

B) SmDy6Mg after structural relaxation, computed with PBE-GGA.

a b c (Å): 6.092 6.092 9.885
angles (deg): 113.92 113.92 48.48
Sites, in units of the cell vectors:
Sm (0.000, 0.000, 0.000)
Dy (0.245, 0.245, 0.377)
Dy (0.250, 0.250, 0.872)
Dy (0.498, 0.498, 0.251)
Dy (0.502, 0.502, 0.749)
Dy (0.750, 0.750, 0.128)
Dy (0.755, 0.755, 0.623)
Mg (0.000, 0.000, 0.500)

Energy above the most stable structure, in meV per atom: A) 103; B) 0

A) Sm2Dy3Mg after structural relaxation, computed with PBE-GGA.

a b c (Å): 7.597 7.597 6.784
angles (deg): 94.24 94.24 99.10
Sites, in units of the cell vectors:
Sm (0.070, 0.604, 0.807)
Sm (0.396, 0.930, 0.693)
Sm (0.604, 0.070, 0.307)
Sm (0.930, 0.396, 0.193)
Dy (0.050, 0.950, 0.250)
Dy (0.289, 0.330, 0.515)
Dy (0.330, 0.289, 0.015)
Dy (0.670, 0.711, 0.985)
Dy (0.711, 0.670, 0.485)
Dy (0.950, 0.050, 0.750)
Mg (0.322, 0.678, 0.250)
Mg (0.678, 0.322, 0.750)

B) Sm2Dy3Mg after structural relaxation, computed with PBE-GGA.

a b c (Å): 7.901 7.901 7.901
angles (deg): 155.83 101.24 83.85
Sites, in units of the cell vectors:
Sm (0.171, 0.000, 0.171)
Sm (0.829, 0.000, 0.829)
Dy (0.268, 0.268, 0.000)
Dy (0.586, 0.250, 0.336)
Dy (0.914, 0.250, 0.664)
Mg (0.512, 0.012, 0.500)

Energy above the most stable structure, in meV per atom: A) 0; B) 256

A) Sm4Dy2Mg after structural relaxation, computed with PBE-GGA.

a b c (Å): 5.954 3.658 10.920
angles (deg): 90.00 99.50 90.00
Sites, in units of the cell vectors:
Sm (0.051, 0.000, 0.204)
Sm (0.432, 0.500, 0.751)
Sm (0.568, 0.500, 0.249)
Sm (0.949, 0.000, 0.796)
Dy (0.000, 0.500, 0.500)
Dy (0.500, 0.000, 0.500)
Mg (0.500, 0.000, 0.000)

B) Sm4Dy2Mg after structural relaxation, computed with PBE-GGA.

a b c (Å): 6.041 6.636 11.578
angles (deg): 90.00 105.22 90.00
Sites, in units of the cell vectors:
Sm (0.020, 0.250, 0.376)
Sm (0.150, 0.250, 0.942)
Sm (0.359, 0.000, 0.215)
Sm (0.359, 0.500, 0.215)
Sm (0.641, 0.000, 0.785)
Sm (0.641, 0.500, 0.785)
Sm (0.850, 0.750, 0.058)
Sm (0.980, 0.750, 0.624)
Dy (0.280, 0.750, 0.924)
Dy (0.404, 0.750, 0.496)
Dy (0.596, 0.250, 0.504)
Dy (0.720, 0.250, 0.076)
Mg (0.145, 0.250, 0.665)
Mg (0.855, 0.750, 0.335)

Energy above the most stable structure, in meV per atom: A) 31; B) 0

A) SmDyMg3 after structural relaxation, computed with PBE-GGA.

a b c (Å): 13.627 13.627 3.488
angles (deg): 96.75 96.75 64.04
Sites, in units of the cell vectors:
Sm (0.137, 0.357, 0.479)
Sm (0.357, 0.137, 0.979)
Sm (0.643, 0.863, 0.021)
Sm (0.863, 0.643, 0.521)
Dy (0.110, 0.890, 0.750)
Dy (0.331, 0.669, 0.250)
Dy (0.669, 0.331, 0.750)
Dy (0.890, 0.110, 0.250)
Mg (0.041, 0.203, 0.867)
Mg (0.131, 0.630, 0.624)
Mg (0.203, 0.041, 0.367)
Mg (0.289, 0.448, 0.095)
Mg (0.370, 0.869, 0.876)
Mg (0.448, 0.289, 0.595)
Mg (0.552, 0.711, 0.405)
Mg (0.630, 0.131, 0.124)
Mg (0.711, 0.552, 0.905)
Mg (0.797, 0.959, 0.633)
Mg (0.869, 0.370, 0.376)
Mg (0.959, 0.797, 0.133)

B) SmDyMg3 after structural relaxation, computed with PBE-GGA.

a b c (Å): 9.016 9.016 9.016
angles (deg): 40.52 40.52 40.52
Sites, in units of the cell vectors:
Sm (0.068, 0.068, 0.068)
Sm (0.932, 0.932, 0.932)
Dy (0.335, 0.335, 0.335)
Dy (0.665, 0.665, 0.665)
Mg (0.111, 0.622, 0.622)
Mg (0.378, 0.378, 0.889)
Mg (0.378, 0.889, 0.378)
Mg (0.622, 0.111, 0.622)
Mg (0.622, 0.622, 0.111)
Mg (0.889, 0.378, 0.378)

Energy above the most stable structure, in meV per atom: A) 111; B) 0

A) Sm2DyMg4 after structural relaxation, computed with PBE-GGA.

a b c (Å): 7.259 7.259 5.458
angles (deg): 90.00 90.00 130.91
Sites, in units of the cell vectors:
Sm (0.135, 0.865, 0.000)
Sm (0.865, 0.135, 0.000)
Dy (0.500, 0.500, 0.500)
Mg (0.263, 0.737, 0.500)
Mg (0.385, 0.615, 0.000)
Mg (0.615, 0.385, 0.000)
Mg (0.737, 0.263, 0.500)

B) Sm2DyMg4 after structural relaxation, computed with PBE-GGA.

a b c (Å): 8.239 8.239 8.239
angles (deg): 141.60 141.60 55.43
Sites, in units of the cell vectors:
Sm (0.248, 0.248, 0.000)
Sm (0.752, 0.752, 0.000)
Dy (0.500, 0.500, 0.000)
Mg (0.114, 0.614, 0.500)
Mg (0.386, 0.886, 0.500)
Mg (0.614, 0.114, 0.500)
Mg (0.886, 0.386, 0.500)

Energy above the most stable structure, in meV per atom: A) 237; B) 0

A) Sm2DyMg after structural relaxation, computed with PBE-GGA.

a b c (Å): 5.568 5.568 5.568
angles (deg): 60.00 60.00 60.00
Sites, in units of the cell vectors:
Sm (0.250, 0.250, 0.250)
Sm (0.750, 0.750, 0.750)
Dy (0.000, 0.000, 0.000)
Mg (0.500, 0.500, 0.500)

B) Sm2DyMg after structural relaxation, computed with PBE-GGA.

a b c (Å): 12.556 12.556 12.556
angles (deg): 15.94 15.94 15.94
Sites, in units of the cell vectors:
Sm (0.089, 0.089, 0.089)
Sm (0.911, 0.911, 0.911)
Dy (0.500, 0.500, 0.500)
Mg (0.000, 0.000, 0.000)

Energy above the most stable structure, in meV per atom: A) 0; B) 151

A) SmDyMg4 after structural relaxation, computed with PBE-GGA.

a b c (Å): 7.139 7.139 6.803
angles (deg): 103.82 103.82 28.04
Sites, in units of the cell vectors:
Sm (0.000, 0.000, 0.000)
Dy (0.000, 0.000, 0.500)
Mg (0.323, 0.323, 0.165)
Mg (0.325, 0.325, 0.660)
Mg (0.675, 0.675, 0.340)
Mg (0.677, 0.677, 0.835)

B) SmDyMg4 after structural relaxation, computed with PBE-GGA.

a b c (Å): 6.061 6.061 6.061
angles (deg): 60.00 60.00 60.00
Sites, in units of the cell vectors:
Sm (0.000, 0.000, 0.000)
Dy (0.750, 0.750, 0.750)
Mg (0.375, 0.375, 0.375)
Mg (0.375, 0.375, 0.875)
Mg (0.375, 0.875, 0.375)
Mg (0.875, 0.375, 0.375)

Energy above the most stable structure, in meV per atom: A) 34; B) 0

A) Sm5Dy4Mg after structural relaxation, computed with PBE-GGA.

a b c (Å): 8.054 8.054 8.054
angles (deg): 97.55 97.55 137.49
Sites, in units of the cell vectors:
Sm (0.000, 0.000, 0.000)
Sm (0.098, 0.098, 0.628)
Sm (0.098, 0.471, 0.000)
Sm (0.471, 0.098, 0.000)
Sm (0.471, 0.471, 0.372)
Dy (0.117, 0.795, 0.322)
Dy (0.473, 0.795, 0.678)
Dy (0.795, 0.117, 0.322)
Dy (0.795, 0.473, 0.678)
Mg (0.525, 0.525, 0.000)

B) Sm5Dy4Mg after structural relaxation, computed with PBE-GGA.

a b c (Å): 4.107 4.107 19.032
angles (deg): 90.00 90.00 90.00
Sites, in units of the cell vectors:
Sm (0.000, 0.000, 0.000)
Sm (0.000, 0.000, 0.198)
Sm (0.000, 0.000, 0.405)
Sm (0.000, 0.000, 0.595)
Sm (0.000, 0.000, 0.802)
Dy (0.500, 0.500, 0.099)
Dy (0.500, 0.500, 0.298)
Dy (0.500, 0.500, 0.702)
Dy (0.500, 0.500, 0.901)
Mg (0.500, 0.500, 0.500)

Energy above the most stable structure, in meV per atom: A) 121; B) 0